# 1
# CaIr2Ru

Crystalline CaIr2Ru at its relaxed geometry (GGA-PBE, the Alexandria database).

Output
Calculated total energy: -7.2373 eV/atom
ΔE_f: 0.013 eV/atom
Distance to the lowest polymorph of the same formula: 0.00 eV per formula unit

Structure (CIF):
```
data_CaIr2Ru
_space_group_name_H-M_alt 'P 4/m m m'
_space_group_IT_number 123
_space_group_name_Hall '-P 4 2'
_cell_length_a 2.845
_cell_length_b 2.845
_cell_length_c 8.187
_cell_angle_alpha 90.00
_cell_angle_beta 90.00
_cell_angle_gamma 90.00
loop_
_atom_site_label
_atom_site_type_symbol
_atom_site_fract_x
_atom_site_fract_y
_atom_site_fract_z
Ca1 Ca 0.000 0.000 0.000
Ir1 Ir 0.500 0.500 0.285
Ru1 Ru 0.000 0.000 0.500
```


# 2
# LuThTcRu

Crystalline LuThTcRu at its relaxed geometry (GGA-PBE, the Alexandria database).

Output
Calculated total energy: -8.1979 eV/atom
ΔE_f: -0.302 eV/atom

Structure (CIF):
```
data_LuThTcRu
_space_group_name_H-M_alt 'F -4 3 m'
_space_group_IT_number 216
_space_group_name_Hall 'F -4 2 3'
_cell_length_a 6.891
_cell_length_b 6.891
_cell_length_c 6.891
_cell_angle_alpha 90.00
_cell_angle_beta 90.00
_cell_angle_gamma 90.00
loop_
_atom_site_label
_atom_site_type_symbol
_atom_site_fract_x
_atom_site_fract_y
_atom_site_fract_z
Lu1 Lu 0.000 0.000 0.000
Th1 Th 0.000 0.000 0.500
Tc1 Tc 0.250 0.250 0.750
Ru1 Ru 0.250 0.250 0.250
```


Q: Number 1 is which compound?
A: CaIr2Ru


Repeat the first record exactly.
# CaIr2Ru

Crystalline CaIr2Ru at its relaxed geometry (GGA-PBE, the Alexandria database).

Output
Calculated total energy: -7.2373 eV/atom
ΔE_f: 0.013 eV/atom
Distance to the lowest polymorph of the same formula: 0.00 eV per formula unit

Structure (CIF):
```
data_CaIr2Ru
_space_group_name_H-M_alt 'P 4/m m m'
_space_group_IT_number 123
_space_group_name_Hall '-P 4 2'
_cell_length_a 2.845
_cell_length_b 2.845
_cell_length_c 8.187
_cell_angle_alpha 90.00
_cell_angle_beta 90.00
_cell_angle_gamma 90.00
loop_
_atom_site_label
_atom_site_type_symbol
_atom_site_fract_x
_atom_site_fract_y
_atom_site_fract_z
Ca1 Ca 0.000 0.000 0.000
Ir1 Ir 0.500 0.500 0.285
Ru1 Ru 0.000 0.000 0.500
```


Please write out number 1 again, unchanged.
# CaIr2Ru

Crystalline CaIr2Ru at its relaxed geometry (GGA-PBE, the Alexandria database).

Output
Calculated total energy: -7.2373 eV/atom
ΔE_f: 0.013 eV/atom
Distance to the lowest polymorph of the same formula: 0.00 eV per formula unit

Structure (CIF):
```
data_CaIr2Ru
_space_group_name_H-M_alt 'P 4/m m m'
_space_group_IT_number 123
_space_group_name_Hall '-P 4 2'
_cell_length_a 2.845
_cell_length_b 2.845
_cell_length_c 8.187
_cell_angle_alpha 90.00
_cell_angle_beta 90.00
_cell_angle_gamma 90.00
loop_
_atom_site_label
_atom_site_type_symbol
_atom_site_fract_x
_atom_site_fract_y
_atom_site_fract_z
Ca1 Ca 0.000 0.000 0.000
Ir1 Ir 0.500 0.500 0.285
Ru1 Ru 0.000 0.000 0.500
```


Q: Which value of calculated total energy does entry 1 give?
A: -7.2373 eV/atom